Below is Rb2UAlTe5 after structural relaxation, with properties calculated at the GGA-PBE level.

Symmetry: No. 36
Raw total energy: -4.36 eV per atom
Uncorrected formation energy: -0.729 eV/atom
Fermi-level density of states: 12.6 states/eV/cell

a b c (Å): 4.3831 11.0955 15.6794
angles (deg): 90.00 90.00 101.39
Atoms (fractional coordinates):
Rb (0.1218, 0.2436, 0.3294)
Rb (0.8782, 0.7564, 0.8294)
Rb (0.8717, 0.7433, 0.1882)
Rb (0.1283, 0.2567, 0.6882)
U (0.1998, 0.3995, 0.0253)
U (0.8002, 0.6005, 0.5253)
Te (0.3046, 0.6092, 0.6553)
Te (0.6954, 0.3908, 0.1553)
Te (0.0561, 0.1121, 0.0253)
Te (0.5100, 0.0201, 0.7836)
Te (0.6929, 0.3858, 0.8866)
Te (0.9439, 0.8879, 0.5253)
Te (0.4900, 0.9799, 0.2836)
Te (0.3071, 0.6142, 0.3866)
Te (0.6701, 0.3402, 0.5081)
Te (0.3299, 0.6598, 0.0081)
Al (0.4287, 0.8575, 0.4221)
Al (0.5713, 0.1425, 0.9221)